Entry from the Alexandria database: a geometry-optimized Tm5TlHg3 structure (PBE).

```
data_Tm5TlHg3
_chemical_formula_sum 'Tm10 Tl2 Hg6'
_cell_length_a 9.0219
_cell_length_b 9.0219
_cell_length_c 6.6433
_cell_angle_alpha 90.00
_cell_angle_beta 90.00
_cell_angle_gamma 120.00
_space_group_name_H-M_alt 'P 63/m c m'
_space_group_IT_number 193
_space_group_name_Hall '-P 6c 2'
loop_
_atom_site_label
_atom_site_fract_x
_atom_site_fract_y
_atom_site_fract_z
Tm1 0.0000 0.2974 0.2500
Tm2 0.3333 0.6667 0.0000
Tl1 0.0000 0.0000 0.0000
Hg1 0.0000 0.3741 0.7500
```

The crystal system is hexagonal. The value obtained for the energy of formation is -0.368 eV/atom.



Entry from the Alexandria database: a geometry-optimized ReSb2Pt structure (PBE).

```
data_ReSb2Pt
_chemical_formula_sum 'Re2 Sb4 Pt2'
_cell_length_a 8.607
_cell_length_b 3.338
_cell_length_c 5.439
_cell_angle_alpha 90.00
_cell_angle_beta 101.75
_cell_angle_gamma 90.00
_space_group_name_H-M_alt 'C 1 2/m 1'
_space_group_IT_number 12
loop_
_space_group_symop_operation_xyz
'x,y,z'
'-x,-y,-z'
'-x,y,-z'
'x,-y,z'
'x+1/2,y+1/2,z'
'-x+1/2,-y+1/2,-z'
'-x+1/2,y+1/2,-z'
'x+1/2,-y+1/2,z'
loop_
_atom_site_label
_atom_site_fract_x
_atom_site_fract_y
_atom_site_fract_z
Re1 0.000 0.000 0.000
Sb1 0.241 0.500 0.237
Pt1 0.000 0.500 0.500
```

The crystal system is monoclinic. For the energy above the most stable polymorph in this dataset, the calculation gives 0.199 eV per atom. For the energy relative to the elements, uncorrected, the calculation gives 0.351 eV per atom.



Entry from the Alexandria database: a geometry-optimized CdTe2Ir structure (PBE).

```
data_CdTe2Ir
_chemical_formula_sum 'Cd1 Te2 Ir1'
_cell_length_a 3.122
_cell_length_b 3.425
_cell_length_c 9.148
_cell_angle_alpha 90.00
_cell_angle_beta 90.00
_cell_angle_gamma 90.00
_space_group_name_H-M_alt 'P m m 2'
_space_group_IT_number 25
loop_
_space_group_symop_operation_xyz
'x,y,z'
'-x,-y,z'
'-x,y,z'
'x,-y,z'
loop_
_atom_site_label
_atom_site_fract_x
_atom_site_fract_y
_atom_site_fract_z
Cd1 0.000 0.000 0.000
Te1 0.000 0.000 0.365
Te2 0.500 0.500 0.736
Ir1 0.500 0.500 0.209
```

The crystal system is orthorhombic. For the energy relative to the elements, uncorrected, the calculation gives 0.117 eV per atom.



Total magnetic moment in μB per cell, matching the order above: 0.0 0.0 0.0